--- 1 ---
Here is an optimized crystal structure of BiBr2Cl from the Alexandria database. Energies are from GGA-PBE. Values from VASP.

Quantum ESPRESSO input file:
```
&SYSTEM
  ibrav = 0, nat = 4, ntyp = 3
/
ATOMIC_SPECIES
Bi 208.98 Bi.upf
Br 79.90 Br.upf
Cl 35.45 Cl.upf
ATOMIC_POSITIONS angstrom
Bi 0.000 0.000 0.000
Br 1.837 1.837 1.837
Br 5.512 5.512 5.512
Cl 3.674 3.674 3.674
CELL_PARAMETERS angstrom
0.000 3.674 3.674
3.674 0.000 3.674
3.674 3.674 0.000
```

--- 2 ---
Here is an optimized crystal structure of BiBr2Cl from the Alexandria database. Energies are from GGA-PBE. Values from VASP.

Quantum ESPRESSO input file:
```
&SYSTEM
  ibrav = 0, nat = 4, ntyp = 3
/
ATOMIC_SPECIES
Bi 208.98 Bi.upf
Br 79.90 Br.upf
Cl 35.45 Cl.upf
ATOMIC_POSITIONS angstrom
Bi 0.000 0.000 0.000
Br 5.569 5.776 2.634
Br 5.814 3.115 5.543
Cl 3.181 5.985 5.750
CELL_PARAMETERS angstrom
5.474 0.000 0.000
0.172 5.771 0.000
0.441 0.464 6.070
```

2 comes first in stability; the runner-up is 40.6 kJ/mol of atoms higher.